! AcSmNi | the Alexandria database | GGA-PBE | optimized geometry; values from VASP
! Energy relative to the lowest polymorph listed for this composition = 160.6 meV/atom
! DFT formation energy = -13 meV/atom
! Calculated volume = 31.872 Å³ per atom
! Magnetization = 0.000 μB per atom
&SYSTEM
  ibrav = 0, nat = 6, ntyp = 3
/
ATOMIC_SPECIES
Ac 227.00 Ac.upf
Sm 150.36 Sm.upf
Ni 58.69 Ni.upf
CELL_PARAMETERS angstrom
-1.902 3.380 7.436
1.902 -3.380 7.436
1.902 3.380 -7.436
ATOMIC_POSITIONS crystal
Ac 0.131 0.131 0.000
Ac 0.869 0.869 0.000
Sm 0.382 0.382 0.000
Sm 0.618 0.618 0.000
Ni 0.320 0.000 0.320
Ni 0.680 0.000 0.680

! AcSmNi | the Alexandria database | GGA-PBE | optimized geometry; values from VASP
! Energy relative to the lowest polymorph listed for this composition = 55.8 meV/atom
! DFT formation energy = -118 meV/atom
! Calculated volume = 31.812 Å³ per atom
! Magnetization = 0.000 μB per atom
&SYSTEM
  ibrav = 0, nat = 3, ntyp = 3
/
ATOMIC_SPECIES
Ac 227.00 Ac.upf
Sm 150.36 Sm.upf
Ni 58.69 Ni.upf
CELL_PARAMETERS angstrom
4.096 0.000 0.000
-2.048 3.547 0.000
0.000 0.000 6.569
ATOMIC_POSITIONS crystal
Ac 0.000 0.000 0.000
Sm 0.333 0.667 0.514
Ni 0.667 0.333 0.738

! AcSmNi10 | the Alexandria database | GGA-PBE | optimized geometry; values from VASP
! DFT formation energy = -251 meV/atom
! Calculated volume = 14.421 Å³ per atom
! Magnetization = 0.242 μB per atom
&SYSTEM
  ibrav = 0, nat = 12, ntyp = 3
/
ATOMIC_SPECIES
Ac 227.00 Ac.upf
Sm 150.36 Sm.upf
Ni 58.69 Ni.upf
CELL_PARAMETERS angstrom
3.974 0.000 0.000
0.000 5.008 0.000
0.000 0.000 8.695
ATOMIC_POSITIONS crystal
Ac 0.000 0.000 0.000
Sm 0.000 0.500 0.500
Ni 0.000 0.000 0.340
Ni 0.000 0.000 0.660
Ni 0.000 0.500 0.174
Ni 0.000 0.500 0.826
Ni 0.500 0.000 0.500
Ni 0.500 0.253 0.257
Ni 0.500 0.253 0.743
Ni 0.500 0.500 0.000
Ni 0.500 0.747 0.257
Ni 0.500 0.747 0.743

! AcSm2Ni | the Alexandria database | GGA-PBE | optimized geometry; values from VASP
! Energy relative to the lowest polymorph listed for this composition = 0.0 meV/atom
! DFT formation energy = -165 meV/atom
! Calculated volume = 30.092 Å³ per atom
! Magnetization = 0.000 μB per atom
&SYSTEM
  ibrav = 0, nat = 16, ntyp = 3
/
ATOMIC_SPECIES
Ac 227.00 Ac.upf
Sm 150.36 Sm.upf
Ni 58.69 Ni.upf
CELL_PARAMETERS angstrom
7.201 0.000 0.000
0.000 10.090 0.000
0.000 0.000 6.626
ATOMIC_POSITIONS crystal
Ac 0.036 0.250 0.145
Ac 0.464 0.750 0.645
Ac 0.536 0.250 0.355
Ac 0.964 0.750 0.855
Sm 0.174 0.070 0.673
Sm 0.174 0.430 0.673
Sm 0.326 0.570 0.173
Sm 0.326 0.930 0.173
Sm 0.674 0.070 0.827
Sm 0.674 0.430 0.827
Sm 0.826 0.570 0.327
Sm 0.826 0.930 0.327
Ni 0.113 0.750 0.414
Ni 0.387 0.250 0.914
Ni 0.613 0.750 0.086
Ni 0.887 0.250 0.586

! AcSmNi | the Alexandria database | GGA-PBE | optimized geometry; values from VASP
! Energy relative to the lowest polymorph listed for this composition = 0.0 meV/atom
! DFT formation energy = -173 meV/atom
! Calculated volume = 29.095 Å³ per atom
! Magnetization = 0.000 μB per atom
&SYSTEM
  ibrav = 0, nat = 6, ntyp = 3
/
ATOMIC_SPECIES
Ac 227.00 Ac.upf
Sm 150.36 Sm.upf
Ni 58.69 Ni.upf
CELL_PARAMETERS angstrom
6.507 -1.926 0.000
6.507 1.926 0.000
-5.336 0.000 6.963
ATOMIC_POSITIONS crystal
Ac 0.171 0.171 0.087
Ac 0.829 0.829 0.913
Sm 0.420 0.420 0.607
Sm 0.580 0.580 0.393
Ni 0.114 0.114 0.668
Ni 0.886 0.886 0.332

! AcSm3Ni8 | the Alexandria database | GGA-PBE | optimized geometry; values from VASP
! DFT formation energy = -307 meV/atom
! Calculated volume = 16.452 Å³ per atom
! Magnetization = 0.000 μB per atom
&SYSTEM
  ibrav = 0, nat = 12, ntyp = 3
/
ATOMIC_SPECIES
Ac 227.00 Ac.upf
Sm 150.36 Sm.upf
Ni 58.69 Ni.upf
CELL_PARAMETERS angstrom
2.591 1.496 8.492
-2.591 1.496 8.492
0.000 -2.991 8.492
ATOMIC_POSITIONS crystal
Ac 0.000 0.000 0.000
Sm 0.126 0.126 0.126
Sm 0.498 0.498 0.498
Sm 0.621 0.621 0.621
Ni 0.061 0.061 0.558
Ni 0.061 0.558 0.061
Ni 0.063 0.563 0.563
Ni 0.311 0.311 0.311
Ni 0.558 0.061 0.061
Ni 0.563 0.063 0.563
Ni 0.563 0.563 0.063
Ni 0.812 0.812 0.812